# 1
A plane-wave DFT calculation with GGA-PBE was carried out for SrCaCd6 after structural relaxation.

a b c (Å): 4.9048 6.6755 6.5820
angles (deg): 90.00 90.00 90.00
With the nearest neighbours (Å) after each atom.
Space group Pmm2 (No. 25)
Asymmetric unit:
Sr: 0.0000 0.0000 0.0000 x1  10 Cd 3.44-3.50
Ca: 0.5000 0.5000 0.2105 x1  10 Cd 3.34-3.50
Cd: 0.0000 0.2572 0.4635 x2  6 Cd 3.06-3.24, 2 Ca 3.38
Cd: 0.0000 0.5000 0.8665 x1  6 Cd 3.03-3.11, 2 Ca 3.34
Cd: 0.5000 0.0000 0.3683 x1  6 Cd 3.04-3.06
Cd: 0.5000 0.2608 0.7464 x2  6 Cd 3.03-3.19

Output
**Formation energy**: -264 meV per atom
**Magnetization**: 0.000 μB per formula unit
**Total DFT energy (no corrections)**: -1.411 eV per atom

=====

# 2
A plane-wave DFT calculation with GGA-PBE was carried out for HoBiPt after structural relaxation.

a b c (Å): 3.5387 3.5387 11.8549
angles (deg): 90.00 90.00 90.00
With the nearest neighbours (Å) after each atom.
Space group I4mm (No. 107)
Asymmetric unit:
Ho: 0.0000 0.0000 0.0000 x2  4 Pt 2.86
Bi: 0.0000 0.0000 0.2893 x2  4 Pt 3.23, 5 Ho 3.43-3.54, 4 Bi 3.54
Pt: 0.0000 0.0000 0.6171 x2  4 Ho 2.86

Output
**Formation energy**: -723 meV per atom
**Magnetization**: 0.000 μB per formula unit
**Total DFT energy (no corrections)**: -5.556 eV per atom

=====

# 3
A plane-wave DFT calculation with GGA-PBE was carried out for LaHf2Se after structural relaxation.

a b c (Å): 3.3109 3.3109 30.7225
angles (deg): 90.00 90.00 120.00
With the nearest neighbours (Å) after each atom.
Space group R-3m (No. 166, hexagonal axes)
Asymmetric unit:
La: 0.0000 0.0000 0.0000 x3  2 Hf 3.16, 6 La 3.31
Hf: 0.0000 0.0000 0.1027 x6  3 Se 2.74
Se: 0.0000 0.0000 0.5000 x3  6 Hf 2.74

Output
**Magnetization**: 0.000 μB per formula unit
**ΔE_f (raw)**: -0.095 eV per atom
**Total DFT energy (no corrections)**: -7.175 eV per atom